# Ca2AlGa4Ag3, relaxed, DFT PBE
# Formation enthalpy at 0 K ... -314.0 meV/atom
# E_tot ... -31.547 eV per cell
# Fermi-level density of states ... 0.40 states/eV/atom
# Theoretical density ... 5.7 g/cm³
data_Ca2AlGa4Ag3
_symmetry_space_group_name_H-M 'P -4 m 2'
_symmetry_Int_Tables_number 115
_cell_length_a 4.2282
_cell_length_b 4.2282
_cell_length_c 11.6557
_cell_angle_alpha 90.00
_cell_angle_beta 90.00
_cell_angle_gamma 90.00
loop_
_symmetry_equiv_pos_as_xyz
'x,y,z'
'y,-x,-z'
'-x,-y,z'
'-y,x,-z'
'-x,y,z'
'-y,-x,-z'
'x,-y,z'
'y,x,-z'
loop_
_atom_site_label
_atom_site_type_symbol
_atom_site_fract_x
_atom_site_fract_y
_atom_site_fract_z
Ca1 Ca 0.0000 0.5000 0.2451
Al1 Al 0.5000 0.5000 0.0000
Ga1 Ga 0.0000 0.0000 0.5000
Ga2 Ga 0.0000 0.5000 0.8622
Ga3 Ga 0.5000 0.5000 0.5000
Ag1 Ag 0.0000 0.0000 0.0000
Ag2 Ag 0.0000 0.5000 0.6424